No. 1
Material: ScGe3Ru
Method: DFT, GGA-PBEsol
State: optimized geometry

Cell: 4.699 4.699 4.699 Å, 90.00 90.00 90.00°
Space group Pm-3m (No. 221)
One atom of each set of equivalent atoms:
Sc1 0.000 0.000 0.000
Ge1 0.000 0.500 0.500
Ru1 0.500 0.500 0.500

Results
ΔE_f (meV per atom): 220
Total magnetization (μB per cell): 0.00
Total energy (eV per atom): -6.099


No. 2
Material: SmGe2Ru2
Method: DFT, GGA-PBEsol
State: optimized geometry

Cell: 4.215 4.215 9.889 Å, 90.00 90.00 90.00°
Space group I4/mmm (No. 139)
One atom of each set of equivalent atoms:
Sm1 0.000 0.000 0.000
Ge1 0.000 0.000 0.370
Ru1 0.000 0.500 0.250

Results
ΔE_f (meV per atom): -663
Total magnetization (μB per cell): 0.00
Total energy (eV per atom): -7.726


No. 3
Material: TaSnGe2Ru
Method: DFT, GGA-PBEsol
State: optimized geometry

Cell: 4.950 4.950 4.681 Å, 90.00 90.00 90.00°
Space group P4/mmm (No. 123)
One atom of each set of equivalent atoms:
Ta1 0.000 0.000 0.000
Sn1 0.500 0.500 0.500
Ge1 0.000 0.500 0.000
Ru1 0.000 0.000 0.500

Results
ΔE_f (meV per atom): 862
Total magnetization (μB per cell): 0.00
Total energy (eV per atom): -6.510


The highest total energy belongs to which entry? ScGe3Ru


Repeat the third record exactly.
Material: TaSnGe2Ru
Method: DFT, GGA-PBEsol
State: optimized geometry

Cell: 4.950 4.950 4.681 Å, 90.00 90.00 90.00°
Space group P4/mmm (No. 123)
One atom of each set of equivalent atoms:
Ta1 0.000 0.000 0.000
Sn1 0.500 0.500 0.500
Ge1 0.000 0.500 0.000
Ru1 0.000 0.000 0.500

Results
ΔE_f (meV per atom): 862
Total magnetization (μB per cell): 0.00
Total energy (eV per atom): -6.510